Compound: Sr2NiPdO5
Source: Alexandria
Functional: GGA+U
Structure: relaxed

Summary:
Space group = Cmc2_1, No. 36
Crystal system = orthorhombic
Total DFT energy (no corrections) = -5.57 eV/atom

a = 7.2079 Å, b = 7.2079 Å, c = 10.4771 Å
α = 90.00°, β = 90.00°, γ = 152.83°
Element x y z (fractional)
1 Sr 0.0967 0.9033 0.5000
2 Sr 0.1308 0.8692 0.1361
3 Sr 0.8692 0.1308 0.6361
4 Sr 0.9033 0.0967 0.0000
5 Ni 0.4471 0.5529 0.2829
6 Ni 0.5529 0.4471 0.7829
7 Pd 0.2175 0.7825 0.8553
8 Pd 0.7825 0.2175 0.3553
9 O 0.0690 0.9310 0.8735
10 O 0.2745 0.7255 0.4784
11 O 0.3026 0.6974 0.2362
12 O 0.3626 0.6374 0.8259
13 O 0.4991 0.5009 0.1143
14 O 0.5009 0.4991 0.6143
15 O 0.6374 0.3626 0.3259
16 O 0.6974 0.3026 0.7362
17 O 0.7255 0.2745 0.9784
18 O 0.9310 0.0690 0.3735